(1)
SmErZn | PBE | optimized geometry

Summary:
**Calculated density**: 8.05 g cm⁻³
**Calculated formation energy**: -0.206 eV/atom
**Distance to the lowest polymorph of the same formula**: 0.0000 eV per atom

The structure in CIF format:
```
data_SmErZn
_cell_length_a 3.595
_cell_length_b 3.595
_cell_length_c 6.622
_cell_angle_alpha 105.75
_cell_angle_beta 105.75
_cell_angle_gamma 90.00
_space_group_name_H-M_alt 'P 1'
_space_group_IT_number 1
loop_
_space_group_symop_operation_xyz
'x,y,z'
loop_
_atom_site_label
_atom_site_fract_x
_atom_site_fract_y
_atom_site_fract_z
Zn1 0.673 0.673 0.346
Er1 0.308 0.308 0.616
Sm1 0.019 0.019 0.038
```

(2)
Pa2O6F | PBE | optimized geometry

Summary:
**Calculated density**: 7.63 g cm⁻³
**E_form (uncorrected)**: -2.7756 eV/atom

The structure in CIF format:
```
data_Pa2O6F
_cell_length_a 3.929
_cell_length_b 6.089
_cell_length_c 6.089
_cell_angle_alpha 69.49
_cell_angle_beta 71.20
_cell_angle_gamma 71.20
_space_group_name_H-M_alt 'P 1'
_space_group_IT_number 1
loop_
_space_group_symop_operation_xyz
'x,y,z'
loop_
_atom_site_label
_atom_site_fract_x
_atom_site_fract_y
_atom_site_fract_z
O1 0.244 0.092 0.420
O2 0.500 0.604 0.396
O3 0.756 0.908 0.580
O4 0.756 0.580 0.908
O5 0.244 0.420 0.092
O6 0.500 0.396 0.604
F1 0.000 0.000 0.000
Pa1 0.254 0.746 0.746
Pa2 0.746 0.254 0.254
```

(3)
Ca4Mg3Cu | PBE | optimized geometry

Summary:
**Calculated density**: 2.13 g cm⁻³
**Calculated formation energy**: -0.066 eV/atom

The structure in CIF format:
```
data_Ca4Mg3Cu
_cell_length_a 3.686
_cell_length_b 3.686
_cell_length_c 17.038
_cell_angle_alpha 90.00
_cell_angle_beta 90.00
_cell_angle_gamma 90.00
_space_group_name_H-M_alt 'P 1'
_space_group_IT_number 1
loop_
_space_group_symop_operation_xyz
'x,y,z'
loop_
_atom_site_label
_atom_site_fract_x
_atom_site_fract_y
_atom_site_fract_z
Cu1 0.500 0.500 0.000
Mg1 0.500 0.500 0.236
Mg2 0.500 0.500 0.500
Mg3 0.500 0.500 0.764
Ca1 0.000 0.000 0.368
Ca2 0.000 0.000 0.102
Ca3 0.000 0.000 0.632
Ca4 0.000 0.000 0.898
```

(4)
LiB2C2 | PBE | optimized geometry

Summary:
**Calculated density**: 2.08 g cm⁻³
**Calculated formation energy**: -0.018 eV/atom
**Distance to the lowest polymorph of the same formula**: 0.0515 eV per atom

The structure in CIF format:
```
data_LiB2C2
_cell_length_a 2.729
_cell_length_b 2.729
_cell_length_c 25.995
_cell_angle_alpha 90.00
_cell_angle_beta 90.00
_cell_angle_gamma 120.00
_space_group_name_H-M_alt 'P 1'
_space_group_IT_number 1
loop_
_space_group_symop_operation_xyz
'x,y,z'
loop_
_atom_site_label
_atom_site_fract_x
_atom_site_fract_y
_atom_site_fract_z
Li1 0.000 0.000 0.363
Li2 0.000 0.000 0.754
Li3 0.000 0.000 0.617
Li4 0.000 0.000 0.893
C1 0.333 0.667 0.297
C2 0.333 0.667 0.088
C3 0.667 0.333 0.686
C4 0.667 0.333 0.430
C5 0.333 0.667 0.822
C6 0.667 0.333 0.959
C7 0.333 0.667 0.550
C8 0.667 0.333 0.166
B1 0.667 0.333 0.295
B2 0.667 0.333 0.089
B3 0.667 0.333 0.822
B4 0.333 0.667 0.432
B5 0.333 0.667 0.686
B6 0.333 0.667 0.165
B7 0.333 0.667 0.961
B8 0.667 0.333 0.548
```